Here is crystalline GaBSeBr2 at its relaxed geometry from Alexandria via LeMat-Bulk. Energies are from PBE-GGA.

Geometry as POSCAR:
```
GaBSeBr2
1.0
-3.0770 3.1157 2.9738
-3.8916 -0.4450 -3.5604
-1.4410 -3.3228 1.9904
Br Se Ga B
2 1 1 1
direct
0.0000 0.5000 0.0000 Br
0.5000 0.0000 0.0000 Br
0.0000 0.0000 0.5000 Se
0.5000 0.5000 0.5000 Ga
0.0000 0.0000 0.0000 B
```

Results
* uncorrected energy: -2.93 eV/atom
* crystal system: tetragonal
* formation energy without anion corrections: 183 kJ/mol of formula units
* SG: P4/mmm, No. 123
* total magnetization: 0.000 μB/f.u.
* energy relative to the lowest polymorph listed for this composition: 0.00 eV per formula unit